DFT (PBE) results for crystalline YPt2Au at its relaxed geometry.

V ... 20.391 Å³ per atom
DOS at the Fermi energy ... 0.414 states/eV per atom
E_form ... -11.6 kcal/mol of atoms

Cell lengths 4.127, 4.127, 19.154 Å; angles 90.00, 90.00, 90.00 degrees
Space group I-42d (No. 122)
One atom of each set of equivalent atoms:
Y  0.000  0.000  0.000
Pt  0.229  0.250  0.625
Au  0.000  0.000  0.500